Compound: Ga2TcOs
Source: Alexandria
Functional: PBE-GGA
Structure: relaxed

Geometry as extended XYZ:
```
8
Lattice="6.967 0.000 0.000 0.000 6.967 0.000 3.483 3.483 2.648" Properties=species:S:1:pos:R:3 pbc="T T T"
Ga 5.225 5.175 1.986
Ga 5.275 1.742 0.662
Ga 8.708 8.758 1.986
Tc 3.483 6.967 1.324
Os 6.967 3.483 1.324
Ga 1.692 5.225 0.662
Os 0.000 0.000 0.000
Tc 3.483 3.483 0.000
```

ΔH_f (0 K)   56.60 kJ/mol of atoms
Energy above the most stable polymorph in this dataset   547 meV/atom
Symmetry   I-42d, No. 122
Crystal system   tetragonal
Raw total energy   -6.3258 eV/atom